RbLi2Pa2S6: optimized geometry, PBE.

Structure (POSCAR):
```
RbLi2Pa2S6
1.0
6.8686 0.0000 0.0000
1.6170 7.0234 0.0000
0.7843 3.5136 6.2973
Rb Li Pa S
1 2 2 6
Cartesian
0.0000 0.0000 0.0000
4.2393 3.5236 1.5343
5.0306 7.0134 4.7630
0.8022 3.5109 2.1089
8.4677 7.0261 4.1884
2.7862 5.2580 2.5676
3.5899 8.7681 3.7429
2.3346 2.6822 0.0050
6.9352 7.8548 6.2923
5.6799 1.7689 2.5544
6.4837 5.2790 3.7297
```

total magnetic moment	0.099	μB/atom
space group	P-1 (2)
total energy	-5.877	eV/atom

=====

RbLiPa2S5: optimized geometry, PBE.

Structure (POSCAR):
```
RbLiPa2S5
1.0
-3.8222 3.8222 7.1512
3.8222 -3.8222 7.1512
3.8222 3.8222 -7.1512
Rb Li Pa S
2 2 4 10
Cartesian
0.0000 0.0000 3.5756
0.0000 0.0000 10.7268
3.8222 0.0000 3.5756
0.0000 3.8222 3.5756
5.0565 1.2343 0.0000
1.2343 2.5879 0.0000
2.5879 1.2343 7.1512
-1.2343 2.5879 7.1512
0.0000 0.0000 0.0000
2.7241 1.0981 -1.7173
2.7241 -1.0981 5.4339
2.7241 1.0981 1.7173
2.7241 -1.0981 8.8685
0.0000 0.0000 7.1512
1.0981 4.9203 -1.7173
1.0981 2.7241 5.4339
1.0981 4.9203 1.7173
1.0981 2.7241 8.8685
```

total magnetic moment	0.219	μB/atom
space group	I4/mcm (140)
total energy	-6.305	eV/atom

=====

RbLiPaS3: optimized geometry, PBE.

Structure (POSCAR):
```
RbLiPaS3
1.0
9.1021 0.0000 0.0000
0.0000 4.1041 0.0000
-2.9303 0.0000 8.8822
Rb Li Pa S
2 2 2 6
Cartesian
1.1480 1.0260 2.2577
5.0238 3.0781 6.6245
-1.0375 1.0260 5.2873
7.2093 3.0781 3.5948
0.4894 3.0781 7.5086
5.6824 1.0260 1.3735
-1.3020 1.0260 7.7049
0.1858 3.0781 4.8752
3.8196 3.0781 1.3723
2.3522 1.0260 7.5099
5.9859 1.0260 4.0070
7.4737 3.0781 1.1773
```

total magnetic moment	0.168	μB/atom
space group	P2_1/m (11)
total energy	-5.643	eV/atom

=====

Number 1 is which compound?
RbLi2Pa2S6

=====

Which formula does entry 3 have?
RbLiPaS3

=====

What is the formula in the second record?
RbLiPa2S5

=====

Which value of total magnetic moment does entry 2 give?
0.219 μB/atom